No. 1
LaTmPt2 | PBE-GGA | relaxed

Properties
- formation energy from the elements (eV per atom) = -1.237
- symmetry = Amm2
- polymorph energy (0 for the lowest one) (kJ per mole of atoms) = 0.0
- crystal system = orthorhombic
- spin magnetization (μB/cell) = 0.00
- calculated total energy (eV per formula unit) = -26.43

```
LaTmPt2
1.0
3.610 0.000 -1.314
0.000 4.539 0.000
0.036 0.000 5.709
La Tm Pt
1 1 2
direct
0.444 0.500 0.427
0.718 0.000 0.975
0.173 0.500 0.887
0.995 0.000 0.529
```

No. 2
LaTm2Pt | PBE-GGA | relaxed

Properties
- formation energy from the elements (eV per atom) = -0.646
- symmetry = P4/mmm
- polymorph energy (0 for the lowest one) (kJ per mole of atoms) = 5.8
- crystal system = tetragonal
- spin magnetization (μB/cell) = 0.00
- calculated total energy (eV per formula unit) = -22.49

```
LaTm2Pt
1.0
-1.404 -1.273 -2.987
-0.999 -2.927 1.717
-7.570 3.736 1.966
Tm Pt La
2 1 1
direct
0.000 0.000 0.815
0.000 0.000 0.185
0.500 0.500 0.000
0.500 0.500 0.500
```

No. 3
La3TmPt8 | PBE-GGA | relaxed

Properties
- formation energy from the elements (eV per atom) = -1.102
- symmetry = R3m
- crystal system = trigonal
- spin magnetization (μB/cell) = 0.00
- calculated total energy (eV per formula unit) = -80.80

```
La3TmPt8
1.0
-0.229 0.399 5.501
-3.459 -3.214 2.859
5.202 -7.217 3.510
La Tm Pt
3 1 8
direct
0.375 0.375 0.876
0.999 0.999 0.003
0.501 0.501 0.498
0.875 0.875 0.376
0.936 0.437 0.191
0.441 0.938 0.683
0.437 0.437 0.191
0.938 0.938 0.683
0.188 0.188 0.437
0.688 0.688 0.937
0.437 0.936 0.191
0.938 0.441 0.683
```

No. 4
LaTm2Pt | PBE-GGA | relaxed

Properties
- formation energy from the elements (eV per atom) = -0.706
- symmetry = Pnma
- polymorph energy (0 for the lowest one) (kJ per mole of atoms) = 0.0
- crystal system = orthorhombic
- spin magnetization (μB/cell) = 0.00
- calculated total energy (eV per formula unit) = -22.74

```
LaTm2Pt
1.0
-0.753 -6.502 0.043
4.916 -0.603 -5.194
6.908 -0.756 6.627
La Tm Pt
4 8 4
direct
0.634 0.523 0.250
0.866 0.023 0.250
0.366 0.477 0.750
0.134 0.977 0.750
0.170 0.676 0.064
0.330 0.176 0.436
0.830 0.324 0.564
0.670 0.824 0.936
0.830 0.324 0.936
0.670 0.824 0.564
0.170 0.676 0.436
0.330 0.176 0.064
0.076 0.383 0.250
0.424 0.883 0.250
0.924 0.617 0.750
0.576 0.117 0.750
```

No. 5
LaTmPt2 | PBE-GGA | relaxed

Properties
- formation energy from the elements (eV per atom) = -1.171
- symmetry = P4/mmm
- polymorph energy (0 for the lowest one) (kJ per mole of atoms) = 6.3
- crystal system = tetragonal
- spin magnetization (μB/cell) = 0.00
- calculated total energy (eV per formula unit) = -26.16

```
LaTmPt2
1.0
-0.239 -0.848 -3.409
-2.038 -2.749 0.827
-5.875 4.168 -0.626
Tm Pt La
1 2 1
direct
0.500 0.500 0.000
0.000 0.000 0.778
0.000 0.000 0.222
0.500 0.500 0.500
```

No. 6
La2TmPt2 | PBE-GGA | relaxed

Properties
- formation energy from the elements (eV per atom) = -1.010
- symmetry = P4/mbm
- crystal system = tetragonal
- spin magnetization (μB/cell) = 0.00
- calculated total energy (eV per formula unit) = -31.46

```
La2TmPt2
1.0
4.178 0.000 0.000
0.000 7.891 0.000
0.000 0.000 7.891
La Tm Pt
4 2 4
direct
0.500 0.163 0.663
0.500 0.663 0.837
0.500 0.837 0.337
0.500 0.337 0.163
0.000 0.000 0.000
0.000 0.500 0.500
0.000 0.357 0.857
0.000 0.857 0.643
0.000 0.643 0.143
0.000 0.143 0.357
```

No. 7
LaTm2Pt | PBE-GGA | relaxed

Properties
- formation energy from the elements (eV per atom) = -0.574
- symmetry = R3m
- polymorph energy (0 for the lowest one) (kJ per mole of atoms) = 12.7
- crystal system = trigonal
- spin magnetization (μB/cell) = 0.00
- calculated total energy (eV per formula unit) = -22.21

```
LaTm2Pt
1.0
3.967 0.000 0.000
1.983 3.436 0.000
1.983 1.145 9.020
La Tm Pt
1 2 1
direct
0.502 0.502 0.493
0.057 0.057 0.830
0.275 0.275 0.174
0.666 0.666 0.003
```

No. 8
LaTm2Pt | PBE-GGA | relaxed

Properties
- formation energy from the elements (eV per atom) = -0.549
- symmetry = R-3m
- polymorph energy (0 for the lowest one) (kJ per mole of atoms) = 15.1
- crystal system = trigonal
- spin magnetization (μB/cell) = 0.00
- calculated total energy (eV per formula unit) = -22.11

```
LaTm2Pt
1.0
-3.396 1.617 -1.082
-3.246 -0.694 2.073
-0.386 7.721 5.674
Tm Pt La
2 1 1
direct
0.276 0.276 0.171
0.724 0.724 0.829
0.000 0.000 0.000
0.500 0.500 0.500
```

No. 9
La2Tm3Pt4 | PBE-GGA | relaxed

Properties
- formation energy from the elements (eV per atom) = -1.203
- symmetry = P2_1/c
- polymorph energy (0 for the lowest one) (kJ per mole of atoms) = 0.0
- crystal system = monoclinic
- spin magnetization (μB/cell) = 0.00
- calculated total energy (eV per formula unit) = -58.26

```
La2Tm3Pt4
1.0
7.891 0.032 0.000
-2.568 7.168 0.000
0.000 0.000 7.642
La Tm Pt
4 6 8
direct
0.583 0.196 0.324
0.917 0.804 0.824
0.417 0.804 0.676
0.083 0.196 0.176
0.000 0.500 0.500
0.500 0.500 0.000
0.749 0.248 0.839
0.751 0.752 0.339
0.251 0.752 0.161
0.249 0.248 0.661
0.865 0.094 0.542
0.635 0.906 0.042
0.135 0.906 0.458
0.365 0.094 0.958
0.872 0.500 0.136
0.628 0.500 0.636
0.128 0.500 0.864
0.372 0.500 0.364
```

No. 10
LaTmPt2 | PBE-GGA | relaxed

Properties
- formation energy from the elements (eV per atom) = -1.166
- symmetry = R-3m
- polymorph energy (0 for the lowest one) (kJ per mole of atoms) = 6.8
- crystal system = trigonal
- spin magnetization (μB/cell) = 0.00
- calculated total energy (eV per formula unit) = -26.14

```
LaTmPt2
1.0
-3.228 -2.106 -2.789
-3.019 -3.183 1.840
-5.204 1.752 0.642
Tm Pt La
1 2 1
direct
0.500 0.500 0.500
0.777 0.777 0.669
0.223 0.223 0.331
0.000 0.000 0.000
```

No. 11
LaTm2Pt9 | PBE-GGA | relaxed

Properties
- formation energy from the elements (eV per atom) = -0.982
- symmetry = R-3m
- crystal system = trigonal
- spin magnetization (μB/cell) = 0.00
- calculated total energy (eV per formula unit) = -80.03

```
LaTm2Pt9
1.0
-4.602 -2.834 -0.559
-0.155 -4.304 -3.314
0.824 -7.610 5.388
La Tm Pt
1 2 9
direct
0.000 0.000 0.000
0.859 0.859 0.422
0.141 0.141 0.578
0.667 0.667 0.999
0.333 0.333 0.001
0.500 0.500 0.500
0.411 0.411 0.260
0.919 0.411 0.260
0.411 0.919 0.260
0.589 0.589 0.740
0.589 0.081 0.740
0.081 0.589 0.740
```

No. 12
LaTm2Pt2 | PBE-GGA | relaxed

Properties
- formation energy from the elements (eV per atom) = -1.057
- symmetry = P2_1/m
- crystal system = monoclinic
- spin magnetization (μB/cell) = 0.00
- calculated total energy (eV per formula unit) = -31.24

```
LaTm2Pt2
1.0
-1.389 -1.077 -4.350
4.186 -3.335 -0.511
-6.544 -7.128 3.854
La Tm Pt
2 4 4
direct
0.250 0.405 0.222
0.750 0.595 0.778
0.250 0.130 0.888
0.750 0.228 0.477
0.250 0.772 0.523
0.750 0.870 0.112
0.750 0.708 0.369
0.750 0.337 0.024
0.250 0.292 0.631
0.250 0.663 0.976
```

No. 13
La2Tm3Pt4 | PBE-GGA | relaxed

Properties
- formation energy from the elements (eV per atom) = -1.062
- symmetry = Cmce
- polymorph energy (0 for the lowest one) (kJ per mole of atoms) = 13.5
- crystal system = orthorhombic
- spin magnetization (μB/cell) = 0.00
- calculated total energy (eV per formula unit) = -56.99

```
La2Tm3Pt4
1.0
-0.859 -4.782 5.316
7.236 1.311 2.348
-2.198 8.235 2.175
La Tm Pt
4 6 8
direct
0.099 0.598 0.198
0.901 0.402 0.802
0.401 0.098 0.802
0.599 0.902 0.198
0.000 0.000 0.000
0.500 0.500 0.000
0.535 0.750 0.570
0.965 0.250 0.430
0.465 0.250 0.430
0.035 0.750 0.570
0.709 0.750 0.917
0.791 0.250 0.083
0.291 0.250 0.083
0.209 0.750 0.917
0.188 0.951 0.377
0.812 0.049 0.623
0.312 0.451 0.623
0.688 0.549 0.377
```

No. 14
LaTmPt4 | PBE-GGA | relaxed

Properties
- formation energy from the elements (eV per atom) = -1.103
- symmetry = F-43m
- crystal system = cubic
- spin magnetization (μB/cell) = 0.00
- calculated total energy (eV per formula unit) = -40.18

```
LaTmPt4
1.0
5.484 0.000 0.000
2.742 4.749 0.000
2.742 1.583 4.478
Tm Pt La
1 4 1
direct
0.250 0.250 0.250
0.624 0.624 0.127
0.624 0.127 0.624
0.624 0.624 0.624
0.127 0.624 0.624
0.000 0.000 0.000
```

No. 15
La2U2Pt15 | PBE-GGA | relaxed

Properties
- formation energy from the elements (eV per atom) = -0.679
- symmetry = R-3m
- crystal system = trigonal
- spin magnetization (μB/cell) = 0.00
- calculated total energy (eV per formula unit) = -135.94

```
La2U2Pt15
1.0
-6.712 -2.166 -1.001
1.364 -5.266 -4.598
0.016 -5.377 4.672
La U Pt
2 2 15
direct
0.352 0.352 0.352
0.648 0.648 0.648
0.086 0.086 0.086
0.914 0.914 0.914
0.500 0.000 0.000
0.000 0.000 0.500
0.000 0.500 0.000
0.000 0.683 0.317
0.683 0.317 0.000
0.317 0.000 0.683
0.317 0.683 0.000
0.683 0.000 0.317
0.000 0.317 0.683
0.158 0.659 0.659
0.659 0.659 0.158
0.659 0.158 0.659
0.842 0.341 0.341
0.341 0.341 0.842
0.341 0.842 0.341
```

No. 16
LaVPt3 | PBE-GGA | relaxed

Properties
- formation energy from the elements (eV per atom) = 1.145
- symmetry = Pm-3m
- polymorph energy (0 for the lowest one) (kJ per mole of atoms) = 146.8
- crystal system = cubic
- spin magnetization (μB/cell) = 3.17
- calculated total energy (eV per formula unit) = -26.44

```
LaVPt3
1.0
-4.575 -1.544 1.900
-0.303 -3.638 -3.687
2.429 -3.361 3.118
La Pt V
1 3 1
direct
0.000 0.000 0.000
0.000 0.500 0.000
0.000 0.000 0.500
0.500 0.000 0.000
0.500 0.500 0.500
```

No. 17
LaVPt3 | PBE-GGA | relaxed

Properties
- formation energy from the elements (eV per atom) = -0.376
- symmetry = Pm-3m
- polymorph energy (0 for the lowest one) (kJ per mole of atoms) = 0.0
- crystal system = cubic
- spin magnetization (μB/cell) = 0.00
- calculated total energy (eV per formula unit) = -34.05

```
LaVPt3
1.0
4.755 0.000 0.000
0.000 4.755 0.000
0.000 0.000 4.755
La Pt V
1 3 1
direct
0.500 0.500 0.500
0.000 0.500 0.000
0.000 0.000 0.500
0.500 0.000 0.000
0.000 0.000 0.000
```

No. 18
La2VPt2 | PBE-GGA | relaxed

Properties
- formation energy from the elements (eV per atom) = -0.654
- symmetry = P4/mbm
- polymorph energy (0 for the lowest one) (kJ per mole of atoms) = 0.0
- crystal system = tetragonal
- spin magnetization (μB/cell) = 7.01
- calculated total energy (eV per formula unit) = -34.32

```
La2VPt2
1.0
7.579 0.000 0.000
0.000 7.579 0.000
0.000 0.000 4.179
La Pt V
4 4 2
direct
0.172 0.672 0.500
0.672 0.828 0.500
0.828 0.328 0.500
0.328 0.172 0.500
0.364 0.864 0.000
0.864 0.636 0.000
0.636 0.136 0.000
0.136 0.364 0.000
0.000 0.000 0.000
0.500 0.500 0.000
```

No. 19
LaV3Pt | PBE-GGA | relaxed

Properties
- formation energy from the elements (eV per atom) = 0.562
- symmetry = Pm-3m
- polymorph energy (0 for the lowest one) (kJ per mole of atoms) = 0.0
- crystal system = cubic
- spin magnetization (μB/cell) = 4.95
- calculated total energy (eV per formula unit) = -35.51

```
LaV3Pt
1.0
-4.639 0.282 -1.282
1.206 -0.942 -4.571
-0.518 -4.719 0.836
La Pt V
1 1 3
direct
0.500 0.500 0.500
0.000 0.000 0.000
0.000 0.500 0.000
0.000 0.000 0.500
0.500 0.000 0.000
```

No. 20
LaVPt2 | PBE-GGA | relaxed

Properties
- formation energy from the elements (eV per atom) = -0.436
- symmetry = Fm-3m
- polymorph energy (0 for the lowest one) (kJ per mole of atoms) = 0.0
- crystal system = cubic
- spin magnetization (μB/cell) = 3.19
- calculated total energy (eV per formula unit) = -27.87

```
LaVPt2
1.0
-3.646 -2.744 1.670
-4.083 2.095 1.598
-4.106 -0.409 -2.567
La Pt V
1 2 1
direct
0.500 0.500 0.500
0.250 0.250 0.250
0.750 0.750 0.750
0.000 0.000 0.000
```